Material: Nd3Cu2Pd4
Method: DFT, GGA-PBE
State: relaxed

Output
- E (eV per atom) = -5.412
- crystal system = monoclinic
- formation energy (eV/atom) = -0.60

Cell: 4.4315 5.8258 8.6779 Å, 69.58 75.21 67.65°
Closest atoms and distances in Å follow each position.
Element x y z (fractional)
Nd 0.3359 0.6570 0.6712  8 Pd 3.11-3.23, 4 Cu 3.15-3.18
Nd 0.0000 0.0000 0.0000  8 Pd 3.12-3.30, 4 Cu 3.22
Nd 0.6641 0.3430 0.3288  8 Pd 3.11-3.23, 4 Cu 3.15-3.18
Pd 0.0618 0.2631 0.6133  2 Cu 2.51, 1 Pd 2.72
Pd 0.7162 0.6329 0.9348  1 Cu 2.51, 2 Pd 2.70
Pd 0.9382 0.7369 0.3867  2 Cu 2.51, 1 Pd 2.72
Pd 0.2838 0.3671 0.0652  1 Cu 2.51, 2 Pd 2.70
Cu 0.3853 0.9428 0.2865  3 Pd 2.51
Cu 0.6147 0.0572 0.7135  3 Pd 2.51